1.
Material: Sr3TaGe
Method: DFT, PBE
State: optimized geometry

Cell and atoms, written as POSCAR:
```
Sr3TaGe
1.0
-2.8307 -4.4744 -2.4771
4.3934 -3.5768 1.4401
-2.6180 -1.1644 5.0950
Sr Ge Ta
3 1 1
direct
0.0000 0.0000 0.5000
0.0000 0.5000 0.0000
0.5000 0.0000 0.0000
0.5000 0.5000 0.5000
0.0000 0.0000 0.0000
```

Output
Total moment   0.000 μB/atom

=====

2.
Material: Sr3TaGe
Method: DFT, PBE
State: optimized geometry

Cell and atoms, written as POSCAR:
```
Sr3TaGe
1.0
5.9808 0.0000 0.0000
0.0000 5.9808 0.0000
0.0000 0.0000 5.9808
Sr Ta Ge
3 1 1
direct
0.5000 0.0000 0.0000
0.0000 0.5000 0.0000
0.0000 0.0000 0.5000
0.5000 0.5000 0.5000
0.0000 0.0000 0.0000
```

Output
Total moment   0.985 μB/atom

=====

Which structure is the most stable? The one labeled 2.